Computed, not measured: a relaxed K2TePb crystal at the GGA-PBE level of DFT.

## Properties
- Energy relative to the elements, uncorrected: -0.26 eV per atom
- V: 37.67 A^3/atom
- Space-group type: R-3m
- E: -2.517 eV/atom

Structure (extended XYZ):
```
4
Lattice="1.9512 1.1265 11.4261 -1.9512 1.1265 11.4261 0.0000 -2.2530 11.4261" Properties=species:S:1:pos:R:3 pbc="T T T"
K 0.0000 0.0000 8.2982
K 0.0000 0.0000 25.9802
Te 0.0000 0.0000 17.1392
Pb 0.0000 0.0000 0.0000
```

---

Computed, not measured: a relaxed K2TePb crystal at the GGA-PBE level of DFT.

## Properties
- Energy relative to the elements, uncorrected: -0.35 eV per atom
- V: 44.82 A^3/atom
- Space-group type: P4mm
- E: -2.607 eV/atom

Structure (extended XYZ):
```
4
Lattice="4.3261 0.0000 0.0000 0.0000 4.3261 0.0000 0.0000 0.0000 9.5805" Properties=species:S:1:pos:R:3 pbc="T T T"
K 0.0000 0.0000 0.0000
K 2.1630 2.1630 3.6902
Te 2.1630 2.1630 7.3365
Pb 0.0000 0.0000 6.1249
```

---

Computed, not measured: a relaxed K3TePb crystal at the GGA-PBE level of DFT.

## Properties
- Energy relative to the elements, uncorrected: -0.32 eV per atom
- V: 58.43 A^3/atom
- Space-group type: Pm-3m
- E: -2.346 eV/atom

Structure (extended XYZ):
```
5
Lattice="6.6353 0.0000 0.0000 0.0000 6.6353 0.0000 0.0000 0.0000 6.6353" Properties=species:S:1:pos:R:3 pbc="T T T"
K 0.0000 0.0000 3.3177
K 0.0000 3.3177 0.0000
K 3.3177 0.0000 0.0000
Te 0.0000 0.0000 0.0000
Pb 3.3177 3.3177 3.3177
```

---

Computed, not measured: a relaxed KTePb2 crystal at the GGA-PBE level of DFT.

## Properties
- Energy relative to the elements, uncorrected: -0.26 eV per atom
- V: 36.37 A^3/atom
- Space-group type: Cm
- E: -3.172 eV/atom

Structure (extended XYZ):
```
4
Lattice="5.7315 -2.0828 0.0000 5.7315 2.0828 0.0000 -1.5769 0.0000 6.0932" Properties=species:S:1:pos:R:3 pbc="T T T"
K 0.0000 0.0000 0.0000
Te 8.0691 0.0000 1.8903
Pb 1.5914 0.0000 4.1275
Pb 4.9479 0.0000 2.9292
```

---

Computed, not measured: a relaxed KTePb2 crystal at the GGA-PBE level of DFT.

## Properties
- Energy relative to the elements, uncorrected: -0.22 eV per atom
- V: 32.46 A^3/atom
- Space-group type: I-4m2
- E: -3.138 eV/atom

Structure (extended XYZ):
```
4
Lattice="-2.5698 2.5698 4.9148 2.5698 -2.5698 4.9148 2.5698 2.5698 -4.9148" Properties=species:S:1:pos:R:3 pbc="T T T"
K 0.0000 0.0000 0.0000
Te 0.0000 2.5698 2.4574
Pb 2.5698 0.0000 2.4574
Pb 0.0000 0.0000 4.9148
```

---

Computed, not measured: a relaxed KTePb crystal at the GGA-PBE level of DFT.

## Properties
- Energy relative to the elements, uncorrected: -0.35 eV per atom
- V: 41.06 A^3/atom
- Space-group type: F-43m
- E: -2.999 eV/atom

Structure (extended XYZ):
```
3
Lattice="0.0000 3.9492 3.9492 3.9492 0.0000 3.9492 3.9492 3.9492 0.0000" Properties=species:S:1:pos:R:3 pbc="T T T"
K 0.0000 0.0000 0.0000
Te 5.9238 5.9238 5.9238
Pb 3.9492 3.9492 3.9492
```

---

Computed, not measured: a relaxed K2TePb crystal at the GGA-PBE level of DFT.

## Properties
- Energy relative to the elements, uncorrected: -0.40 eV per atom
- V: 35.11 A^3/atom
- Space-group type: Cmmm
- E: -2.660 eV/atom

Structure (extended XYZ):
```
4
Lattice="3.5580 -5.3827 0.0000 3.5580 5.3827 0.0000 0.0000 0.0000 3.6667" Properties=species:S:1:pos:R:3 pbc="T T T"
K 1.7790 2.6914 0.0000
K 1.7790 -2.6914 0.0000
Te 0.0000 0.0000 1.8333
Pb 3.5580 0.0000 1.8333
```

---

Computed, not measured: a relaxed K2TePb crystal at the GGA-PBE level of DFT.

## Properties
- Energy relative to the elements, uncorrected: -0.31 eV per atom
- V: 40.42 A^3/atom
- Space-group type: I-42d
- E: -2.572 eV/atom

Structure (extended XYZ):
```
8
Lattice="-4.9120 4.9120 3.3507 4.9120 -4.9120 3.3507 4.9120 4.9120 -3.3507" Properties=species:S:1:pos:R:3 pbc="T T T"
K 7.3680 2.1565 -0.8377
K 2.1565 2.4560 0.8377
K -2.4560 2.7555 2.5131
K 2.7555 2.4560 4.1884
Te 0.0000 0.0000 0.0000
Te 0.0000 4.9120 1.6754
Pb 4.9120 0.0000 1.6754
Pb 0.0000 0.0000 3.3507
```

---

| no. | total magnetic moment (μB per formula unit) |
| --- | --- |
| 1 | 0.4 |
| 2 | 0.0 |
| 3 | 3.0 |
| 4 | 0.0 |
| 5 | 0.0 |
| 6 | 0.0 |
| 7 | 0.0 |
| 8 | 0.0 |